DFT (PBE with a Hubbard U) results for a geometry-optimized K3Cr2As3O12 structure.

Calculated values
- Calculated total energy: -0.226 hartree per atom
- V: 263.4 Å³/f.u.
- Total moment: 6.0 μB per formula unit

Cell: 12.821 12.821 12.821 Å, 90.00 90.00 90.00°
Space group Ia-3d (No. 230)
Asymmetric unit:
K 0.000 0.250 0.125 (multiplicity 24)
Cr 0.000 0.000 0.000 (multiplicity 16)
As 0.000 0.250 0.375 (multiplicity 24)
O 0.042 0.150 0.956 (multiplicity 96)